1.
Density functional theory data (PBE-GGA) for an optimized crystal structure of VSn.

DOS(E_F) = 3.90 states/eV/cell
formation energy = 213.6 meV/atom

a b c (Å): 4.2977 3.2167 5.2593
angles (deg): 90.00 90.00 90.00
With the nearest neighbours (Å) after each atom.
Sites, in units of the cell vectors:
V  0.5000  0.5000  0.4229  6 Sn 2.81, 4 V 3.08
V  0.5000  0.0000  0.9229  6 Sn 2.81, 4 V 3.08
Sn  0.0000  0.0000  0.2658  6 V 2.81, 4 Sn 3.08
Sn  0.0000  0.5000  0.7658  6 V 2.81, 4 Sn 3.08


2.
Density functional theory data (PBE-GGA) for an optimized crystal structure of Pu3Tl2O8.

ΔE_f (raw) = -30.46 eV per formula unit
DOS(E_F) = 14.30 states/eV/cell

a b c (Å): 5.9657 7.5998 7.5998
angles (deg): 54.19 72.33 72.33
With the nearest neighbours (Å) after each atom.
Sites, in units of the cell vectors:
Tl  0.8485  0.6992  0.6992  3 O 2.69-2.73
Tl  0.1515  0.3008  0.3008  3 O 2.69-2.73
O  0.8770  0.6997  0.1404  2 Pu 2.14-2.15
O  0.1230  0.8596  0.3003  2 Pu 2.14-2.15
O  0.8770  0.1404  0.6997  2 Pu 2.14-2.15
O  0.5406  0.5890  0.5890  2 Pu 2.14
O  0.1230  0.3003  0.8596  2 Pu 2.14-2.15
Pu  0.5000  0.2551  0.7449  6 O 2.14-2.26
O  0.6017  0.0804  0.0804  3 Pu 2.25-2.26
O  0.3983  0.9196  0.9196  3 Pu 2.25-2.26
O  0.4594  0.4110  0.4110  2 Pu 2.14
Pu  0.0000  0.0000  0.0000  6 O 2.14-2.25
Pu  0.5000  0.7449  0.2551  6 O 2.14-2.26


3.
Density functional theory data (PBE-GGA) for an optimized crystal structure of TmZnCu6.

DOS(E_F) = 3.47 states/eV/cell
formation energy = -7.1 meV/atom

a b c (Å): 4.8546 4.8546 4.8546
angles (deg): 90.00 90.00 90.00
With the nearest neighbours (Å) after each atom.
Sites, in units of the cell vectors:
Cu  0.7572  0.0000  0.5000  2 Cu 2.36-2.50
Cu  0.5000  0.2428  0.0000  2 Cu 2.36-2.50
Zn  0.0000  0.0000  0.0000  12 Cu 2.70
Cu  0.5000  0.7572  0.0000  2 Cu 2.36-2.50
Cu  0.2428  0.0000  0.5000  2 Cu 2.36-2.50
Tm  0.5000  0.5000  0.5000  12 Cu 2.73
Cu  0.0000  0.5000  0.7572  2 Cu 2.36-2.50
Cu  0.0000  0.5000  0.2428  2 Cu 2.36-2.50